The following is a GGA+U calculation of a relaxed GaNiO crystal, from Alexandria via LeMat-Bulk.

POSCAR file:
```
GaNiO
1.0
9.731 0.000 0.000
0.000 1.401 2.566
0.000 -1.401 2.566
Ga Ni O
2 2 2
Direct
0.000 0.000 0.000
0.500 0.107 0.107
0.205 0.311 0.311
0.795 0.311 0.311
0.376 0.786 0.786
0.624 0.786 0.786
```

Computed properties:
As for the total energy: -12.042 eV/f.u. For the magnetic moment, the calculation gives 0.91 μB per formula unit. As for the density of states at the Fermi level: 1.2 states/eV/cell.